This record from Alexandria via LeMat-Bulk describes a relaxed structure of AuS2Cl. The functional is GGA-PBE.

a b c (Å): 4.634 4.634 4.634
angles (deg): 60.00 60.00 60.00
Element x y z (fractional)
S (0.250, 0.250, 0.250)
S (0.750, 0.750, 0.750)
Au (0.500, 0.500, 0.500)
Cl (0.000, 0.000, 0.000)

Values from the calculation:
Uncorrected formation energy in eV per atom: 0.887
N(E_F) in states/eV/atom: 0.900